Ca2ScP | PBEsol | optimized geometry

Symmetry: Cmmm, No. 65
E, eV for the cell shown: -18.0
DFT formation energy, eV/atom: -0.33
Size of the total moment, μB/cell: 0.2

a b c (Å): 3.4425 3.4425 8.8671
angles (deg): 90.00 90.00 90.13
Atoms (fractional coordinates):
P 0.5000 0.5000 0.5000
Ca 0.0000 0.0000 0.3185
Sc 0.5000 0.5000 0.0000
Ca 0.0000 0.0000 0.6815